VASP calculation (PBE-GGA) on crystalline Li5Pu3Se12 at its relaxed geometry.

Computed properties:
The value obtained for the raw formation energy is -0.803 eV/atom.

Cell lengths 14.186, 14.186, 14.186 Å; angles 109.47, 109.47, 109.47 degrees
Fractional positions:
Li 0.000 0.000 0.000
Li 0.000 0.000 0.500
Li 0.000 0.500 0.000
Li 0.000 0.500 0.500
Li 0.125 0.750 0.875
Li 0.125 0.875 0.250
Li 0.250 0.125 0.875
Li 0.250 0.625 0.375
Li 0.375 0.250 0.625
Li 0.375 0.625 0.750
Li 0.500 0.000 0.000
Li 0.500 0.000 0.500
Li 0.500 0.500 0.000
Li 0.500 0.500 0.500
Li 0.625 0.375 0.250
Li 0.625 0.750 0.375
Li 0.750 0.375 0.625
Li 0.750 0.875 0.125
Li 0.875 0.125 0.750
Li 0.875 0.250 0.125
Pu 0.125 0.250 0.375
Pu 0.125 0.375 0.750
Pu 0.250 0.375 0.125
Pu 0.250 0.875 0.625
Pu 0.375 0.125 0.250
Pu 0.375 0.750 0.125
Pu 0.625 0.250 0.875
Pu 0.625 0.875 0.750
Pu 0.750 0.125 0.375
Pu 0.750 0.625 0.875
Pu 0.875 0.625 0.250
Pu 0.875 0.750 0.625
Se 0.064 0.256 0.154
Se 0.064 0.307 0.909
Se 0.091 0.654 0.398
Se 0.091 0.936 0.693
Se 0.102 0.756 0.693
Se 0.102 0.846 0.409
Se 0.154 0.064 0.256
Se 0.154 0.591 0.898
Se 0.193 0.256 0.602
Se 0.193 0.436 0.591
Se 0.244 0.307 0.898
Se 0.244 0.436 0.346
Se 0.256 0.154 0.064
Se 0.256 0.602 0.193
Se 0.307 0.898 0.244
Se 0.307 0.909 0.064
Se 0.346 0.244 0.436
Se 0.346 0.602 0.909
Se 0.398 0.091 0.654
Se 0.398 0.807 0.744
Se 0.409 0.102 0.846
Se 0.409 0.807 0.564
Se 0.436 0.346 0.244
Se 0.436 0.591 0.193
Se 0.564 0.409 0.807
Se 0.564 0.654 0.756
Se 0.591 0.193 0.436
Se 0.591 0.898 0.154
Se 0.602 0.193 0.256
Se 0.602 0.909 0.346
Se 0.654 0.398 0.091
Se 0.654 0.756 0.564
Se 0.693 0.091 0.936
Se 0.693 0.102 0.756
Se 0.744 0.398 0.807
Se 0.744 0.846 0.936
Se 0.756 0.564 0.654
Se 0.756 0.693 0.102
Se 0.807 0.564 0.409
Se 0.807 0.744 0.398
Se 0.846 0.409 0.102
Se 0.846 0.936 0.744
Se 0.898 0.154 0.591
Se 0.898 0.244 0.307
Se 0.909 0.064 0.307
Se 0.909 0.346 0.602
Se 0.936 0.693 0.091
Se 0.936 0.744 0.846

---

VASP calculation (PBE-GGA) on crystalline Zn2CuSeO6 at its relaxed geometry.

Computed properties:
The value obtained for the raw formation energy is -0.856 eV/atom.

Cell lengths 6.442, 6.442, 5.399 Å; angles 92.60, 92.60, 85.24 degrees
Fractional positions:
Zn 0.076 0.280 0.286
Zn 0.280 0.076 0.786
Zn 0.720 0.924 0.214
Zn 0.924 0.720 0.714
Cu 0.418 0.582 0.750
Cu 0.582 0.418 0.250
Se 0.244 0.756 0.250
Se 0.756 0.244 0.750
O 0.021 0.228 0.642
O 0.162 0.649 0.940
O 0.228 0.021 0.142
O 0.289 0.483 0.356
O 0.351 0.838 0.560
O 0.483 0.289 0.856
O 0.517 0.711 0.144
O 0.649 0.162 0.440
O 0.711 0.517 0.644
O 0.772 0.979 0.858
O 0.838 0.351 0.060
O 0.979 0.772 0.358

---

VASP calculation (PBE-GGA) on crystalline CuPbN at its relaxed geometry.

Computed properties:
The value obtained for the raw formation energy is 0.493 eV/atom.

Cell lengths 3.639, 3.698, 9.085 Å; angles 89.71, 88.58, 67.22 degrees
Fractional positions:
Cu 0.000 0.000 0.000
Cu 0.265 0.389 0.168
Pb 0.569 0.547 0.791
Pb 0.984 0.013 0.462
N 0.096 0.465 0.971
N 0.340 0.361 0.368

---

VASP calculation (PBE-GGA) on crystalline CrP2Ir at its relaxed geometry.

Computed properties:
The value obtained for the formation energy from the elements is -0.0121 eV per atom.

Cell lengths 2.819, 2.819, 7.549 Å; angles 90.00, 90.00, 90.00 degrees
Fractional positions:
Cr 0.000 0.000 0.000
P 0.000 0.000 0.450
P 0.500 0.500 0.834
Ir 0.500 0.500 0.258

---

VASP calculation (PBE-GGA) on crystalline KBe2Tc at its relaxed geometry.

Computed properties:
The value obtained for the formation energy from the elements is 0.6432 eV per atom.

Cell lengths 2.614, 3.971, 7.317 Å; angles 90.00, 90.57, 90.00 degrees
Fractional positions:
K 0.000 0.000 0.000
Be 0.490 0.000 0.445
Be 0.496 0.500 0.638
Tc 0.987 0.500 0.381

---

VASP calculation (PBE-GGA) on crystalline ScW5 at its relaxed geometry.

Computed properties:
The value obtained for the formation energy from the elements is 0.1580 eV per atom.

Cell lengths 5.304, 5.304, 5.304 Å; angles 60.00, 60.00, 60.00 degrees
Fractional positions:
Sc 0.000 0.000 0.000
W 0.375 0.375 0.375
W 0.375 0.375 0.875
W 0.375 0.875 0.375
W 0.750 0.750 0.750
W 0.875 0.375 0.375

---

VASP calculation (PBE-GGA) on crystalline Rb2PuNpS4 at its relaxed geometry.

Computed properties:
The value obtained for the raw formation energy is -1.478 eV/atom.

Cell lengths 7.156, 4.130, 8.015 Å; angles 90.00, 107.28, 90.00 degrees
Fractional positions:
Rb 0.000 0.000 0.000
Rb 0.500 0.500 0.000
Pu 0.000 0.500 0.500
Np 0.500 0.000 0.500
S 0.234 0.000 0.690
S 0.273 0.500 0.310
S 0.727 0.500 0.690
S 0.766 0.000 0.310

---

VASP calculation (PBE-GGA) on crystalline BaTmAs2O8 at its relaxed geometry.

Computed properties:
The value obtained for the raw formation energy is -2.020 eV/atom.

Cell lengths 5.673, 5.673, 7.699 Å; angles 90.00, 90.00, 120.00 degrees
Fractional positions:
Ba 0.000 0.000 0.000
Tm 0.000 0.000 0.500
As 0.333 0.667 0.757
As 0.667 0.333 0.243
O 0.163 0.336 0.689
O 0.173 0.837 0.689
O 0.333 0.667 0.981
O 0.336 0.173 0.311
O 0.664 0.827 0.689
O 0.667 0.333 0.019
O 0.827 0.163 0.311
O 0.837 0.664 0.311